# 1
Density functional theory data (PBE) for a relaxed structure of KSb4Rh.

a = 6.2390 Å, b = 6.2390 Å, c = 6.2390 Å
α = 60.00°, β = 60.00°, γ = 60.00°
Site moments in Bohr magnetons follow the coordinates.
Fractional coordinates of all 6 atoms:
Sb 0.8772 0.3743 0.3743  0.02
Sb 0.3743 0.3743 0.3743  0.02
Sb 0.3743 0.8772 0.3743  0.02
Sb 0.3743 0.3743 0.8772  0.02
Rh 0.0000 0.0000 0.0000  0.80
K 0.7500 0.7500 0.7500  0.00

Summary:
space group: F-43m, No. 216
uncorrected formation energy: 39 kJ per mole of atoms

---

# 2
Density functional theory data (PBE) for a relaxed structure of KSbRh.

a = 4.9431 Å, b = 4.9431 Å, c = 4.9431 Å
α = 60.00°, β = 60.00°, γ = 60.00°
Fractional coordinates of all 3 atoms:
Sb 0.5000 0.5000 0.5000
K 0.7500 0.7500 0.7500
Rh 0.0000 0.0000 0.0000

Summary:
space group: F-43m, No. 216
uncorrected formation energy: 110 kJ per mole of atoms

---

# 3
Density functional theory data (PBE) for a relaxed structure of KSbRh.

a = 6.7848 Å, b = 6.7848 Å, c = 6.7848 Å
α = 150.24°, β = 150.29°, γ = 42.56°
Fractional coordinates of all 3 atoms:
Sb 0.7111 0.7111 0.0000
Rh 0.2931 0.2931 0.0000
K 0.9958 0.9958 0.0000

Summary:
space group: I4mm, No. 107
uncorrected formation energy: -25 kJ per mole of atoms

---

# 4
Density functional theory data (PBE) for a relaxed structure of K2SiSbRh.

a = 6.3916 Å, b = 4.9498 Å, c = 6.3916 Å
α = 90.00°, β = 90.00°, γ = 90.00°
Site moments in Bohr magnetons follow the coordinates.
Fractional coordinates of all 5 atoms:
Sb 0.0000 0.5000 0.0000  0.00
K 0.5000 0.0000 0.0000  0.00
K 0.0000 0.0000 0.5000  0.00
Rh 0.5000 0.5000 0.5000  1.44
Si 0.0000 0.0000 0.0000  0.03

Summary:
space group: P4/mmm, No. 123
uncorrected formation energy: 88 kJ per mole of atoms

---

# 5
Density functional theory data (PBE) for a relaxed structure of KSbTe2Rh.

a = 5.5955 Å, b = 5.5955 Å, c = 4.9723 Å
α = 90.00°, β = 90.00°, γ = 90.00°
Fractional coordinates of all 5 atoms:
Sb 0.0000 0.0000 0.5000
Rh 0.0000 0.0000 0.0000
Te 0.0000 0.5000 0.0000
Te 0.5000 0.0000 0.0000
K 0.5000 0.5000 0.5000

Summary:
space group: P4/mmm, No. 123
relative energy among the computed polymorphs: 0 meV/atom
uncorrected formation energy: -15 kJ per mole of atoms

---

# 6
Density functional theory data (PBE) for a relaxed structure of KSbTe2Rh.

a = 5.8689 Å, b = 5.8689 Å, c = 5.7141 Å
α = 90.00°, β = 90.00°, γ = 90.00°
Site moments in Bohr magnetons follow the coordinates.
Fractional coordinates of all 5 atoms:
Te 0.5000 0.0000 0.0000  0.01
Te 0.0000 0.5000 0.0000  0.01
Sb 0.0000 0.0000 0.5000  0.13
K 0.0000 0.0000 0.0000  0.02
Rh 0.5000 0.5000 0.5000  1.44

Summary:
space group: P4/mmm, No. 123
relative energy among the computed polymorphs: 1750 meV/atom
uncorrected formation energy: 154 kJ per mole of atoms

---

- Which value of uncorrected formation energy does entry 5 give?
  -15 kJ per mole of atoms

---

- Among the records above, which one has the highest uncorrected formation energy?
  number 6